No. 1
{
  "formula": "Cs2TlZnBr6",
  "functional": "PBE-GGA",
  "state": "optimized geometry",
  "cell": [[0.000, 5.615, 5.615], [5.615, 0.000, 5.615], [5.615, 5.615, 0.000]],
  "species": ["Cs", "Cs", "Tl", "Zn", "Br", "Br", "Br", "Br", "Br", "Br"],
  "fractional_positions": [[0.250, 0.250, 0.250], [0.750, 0.750, 0.750], [0.000, 0.000, 0.000], [0.500, 0.500, 0.500], [0.264, 0.264, 0.736], [0.264, 0.736, 0.264], [0.264, 0.736, 0.736], [0.736, 0.264, 0.264], [0.736, 0.264, 0.736], [0.736, 0.736, 0.264]],
  "dft_energy_ev_per_cell": -26.8,
  "space_group": "No. 225"
}

No. 2
{
  "formula": "Cs2UBr6",
  "functional": "PBE-GGA",
  "state": "optimized geometry",
  "cell": [[0.000, 5.676, 5.676], [5.676, 0.000, 5.676], [5.676, 5.676, 0.000]],
  "species": ["Cs", "Cs", "U", "Br", "Br", "Br", "Br", "Br", "Br"],
  "fractional_positions": [[0.250, 0.250, 0.250], [0.750, 0.750, 0.750], [0.000, 0.000, 0.000], [0.245, 0.245, 0.755], [0.245, 0.755, 0.245], [0.245, 0.755, 0.755], [0.755, 0.245, 0.245], [0.755, 0.245, 0.755], [0.755, 0.755, 0.245]],
  "dft_energy_ev_per_cell": -37.4,
  "space_group": "No. 225"
}